Entry 1:
! PmPr3Sm7 (GGA-PBE, optimized geometry); values from VASP
&SYSTEM
  ibrav = 0, nat = 11, ntyp = 3
/
ATOMIC_SPECIES
Pm 145.00 Pm.upf
Sm 150.36 Sm.upf
Pr 140.91 Pr.upf
CELL_PARAMETERS angstrom
-0.078 -8.761 1.105
3.712 -0.808 -6.149
3.514 0.759 6.270
ATOMIC_POSITIONS crystal
Pm 0.443 0.333 0.667
Sm 0.118 0.666 0.833
Sm 0.448 0.833 0.167
Sm 0.448 0.335 0.167
Sm 0.448 0.833 0.665
Sm 0.118 0.167 0.833
Sm 0.118 0.167 0.334
Sm 0.123 0.667 0.333
Pr 0.783 0.500 0.500
Pr 0.783 0.000 0.500
Pr 0.783 0.500 0.000
! energy of formation from the pure elements	0.168	eV per atom
! energy relative to the lowest polymorph listed for this composition	0.00	eV/f.u.
! raw total energy	-4.5700	eV/atom
! V	36.32	Å³/atom
! size of the total moment	0.00	Bohr magnetons per cell

***

Entry 2:
! Pm7Pr2Sm3 (GGA-PBE, optimized geometry); values from VASP
&SYSTEM
  ibrav = 0, nat = 12, ntyp = 3
/
ATOMIC_SPECIES
Pm 145.00 Pm.upf
Sm 150.36 Sm.upf
Pr 140.91 Pr.upf
CELL_PARAMETERS angstrom
-2.691 -0.571 2.414
1.706 -5.584 0.580
11.082 7.946 14.232
ATOMIC_POSITIONS crystal
Pm 0.000 0.410 0.819
Pm 0.000 0.000 0.000
Pm 0.000 0.231 0.462
Pm 0.000 0.769 0.538
Pm 0.500 0.928 0.857
Pm 0.500 0.072 0.143
Pm 0.000 0.590 0.181
Sm 0.500 0.500 0.000
Sm 0.500 0.685 0.371
Sm 0.500 0.315 0.629
Pr 0.000 0.148 0.296
Pr 0.000 0.852 0.704
! energy of formation from the pure elements	0.103	eV per atom
! energy relative to the lowest polymorph listed for this composition	0.40	eV/f.u.
! raw total energy	-4.6448	eV/atom
! V	34.89	Å³/atom
! size of the total moment	0.00	Bohr magnetons per cell

***

Entry 3:
! Pm4Pr2Sm5 (GGA-PBE, optimized geometry); values from VASP
&SYSTEM
  ibrav = 0, nat = 11, ntyp = 3
/
ATOMIC_SPECIES
Pr 140.91 Pr.upf
Sm 150.36 Sm.upf
Pm 145.00 Pm.upf
CELL_PARAMETERS angstrom
-2.272 1.847 2.030
-1.992 -7.750 4.821
10.854 5.397 4.110
ATOMIC_POSITIONS crystal
Pr 0.731 0.731 0.462
Pr 0.269 0.269 0.538
Sm 0.500 0.000 0.000
Sm 0.856 0.052 0.711
Sm 0.144 0.340 0.289
Sm 0.856 0.660 0.711
Sm 0.144 0.948 0.289
Pm 0.000 0.698 0.000
Pm 0.596 0.596 0.192
Pm 0.000 0.302 0.000
Pm 0.404 0.404 0.808
! energy of formation from the pure elements	0.208	eV per atom
! energy relative to the lowest polymorph listed for this composition	0.81	eV/f.u.
! raw total energy	-4.5339	eV/atom
! V	35.66	Å³/atom
! size of the total moment	0.00	Bohr magnetons per cell

***

Entry 4:
! Pm4PrSm5 (GGA-PBE, optimized geometry); values from VASP
&SYSTEM
  ibrav = 0, nat = 10, ntyp = 3
/
ATOMIC_SPECIES
Pm 145.00 Pm.upf
Sm 150.36 Sm.upf
Pr 140.91 Pr.upf
CELL_PARAMETERS angstrom
-0.336 1.480 -3.291
9.617 -4.547 -3.032
-5.916 -7.182 -0.671
ATOMIC_POSITIONS crystal
Pm 0.328 0.776 0.646
Pm 0.979 0.738 0.957
Pm 0.021 0.262 0.043
Pm 0.672 0.224 0.354
Sm 0.838 0.087 0.673
Sm 0.167 0.526 0.338
Sm 0.162 0.913 0.327
Sm 0.500 0.500 0.000
Sm 0.833 0.474 0.662
Pr 0.500 0.000 0.000
! energy of formation from the pure elements	0.216	eV per atom
! energy relative to the lowest polymorph listed for this composition	0.00	eV/f.u.
! raw total energy	-4.5214	eV/atom
! V	35.83	Å³/atom
! size of the total moment	0.00	Bohr magnetons per cell

***

Entry 5:
! Pm3Pr5Sm (GGA-PBE, optimized geometry); values from VASP
&SYSTEM
  ibrav = 0, nat = 18, ntyp = 3
/
ATOMIC_SPECIES
Pm 145.00 Pm.upf
Sm 150.36 Sm.upf
Pr 140.91 Pr.upf
CELL_PARAMETERS angstrom
-2.732 -3.296 4.669
11.064 -1.521 1.103
-5.652 9.698 3.538
ATOMIC_POSITIONS crystal
Pm 0.000 0.000 0.000
Pm 0.407 0.354 0.328
Pm 0.947 0.354 0.828
Pm 0.053 0.646 0.172
Pm 0.593 0.646 0.672
Pm 0.000 0.000 0.500
Sm 0.903 0.000 0.750
Sm 0.097 0.000 0.250
Pr 0.581 0.000 0.250
Pr 0.018 0.643 0.479
Pr 0.375 0.357 0.021
Pr 0.419 0.000 0.750
Pr 0.625 0.643 0.979
Pr 0.982 0.357 0.521
Pr 0.826 0.282 0.128
Pr 0.174 0.718 0.872
Pr 0.544 0.718 0.372
Pr 0.456 0.282 0.628
! energy of formation from the pure elements	0.253	eV per atom
! energy relative to the lowest polymorph listed for this composition	0.00	eV/f.u.
! raw total energy	-4.5101	eV/atom
! V	36.36	Å³/atom
! size of the total moment	0.00	Bohr magnetons per cell

***

Entry 6:
! Pm5Pr3Sm (GGA-PBE, optimized geometry); values from VASP
&SYSTEM
  ibrav = 0, nat = 18, ntyp = 3
/
ATOMIC_SPECIES
Pm 145.00 Pm.upf
Pr 140.91 Pr.upf
Sm 150.36 Sm.upf
CELL_PARAMETERS angstrom
9.993 2.248 0.982
4.898 8.996 0.982
6.554 4.949 9.434
ATOMIC_POSITIONS crystal
Pm 0.159 0.159 0.034
Pm 0.093 0.480 0.653
Pm 0.907 0.520 0.347
Pm 0.520 0.907 0.347
Pm 0.682 0.318 0.000
Pm 0.557 0.557 0.305
Pm 0.443 0.443 0.695
Pm 0.480 0.093 0.653
Pm 0.318 0.682 0.000
Pm 0.841 0.841 0.966
Pr 0.638 0.638 0.669
Pr 0.294 0.294 0.105
Pr 0.706 0.706 0.895
Pr 0.362 0.362 0.331
Pr 0.000 0.000 0.500
Pr 0.000 0.000 0.000
Sm 0.111 0.111 0.647
Sm 0.889 0.889 0.353
! energy of formation from the pure elements	0.373	eV per atom
! energy relative to the lowest polymorph listed for this composition	1.01	eV/f.u.
! raw total energy	-4.3838	eV/atom
! V	37.55	Å³/atom
! size of the total moment	0.00	Bohr magnetons per cell

***

> Look up the raw total energy of the first one.

-4.5700 eV/atom

***

> Which of these has the lowest raw total energy?

Pm7Pr2Sm3